Record 1
Computed, not measured: a relaxed CdH7C6N3O5 crystal at the GGA-PBE level of DFT.

The structure in CIF format:
```
data_CdH7C6N3O5
_symmetry_space_group_name_H-M 'P 21 21 21'
_symmetry_Int_Tables_number 19
_cell_length_a 4.9314
_cell_length_b 9.3087
_cell_length_c 17.8362
_cell_angle_alpha 90.00
_cell_angle_beta 90.00
_cell_angle_gamma 90.00
loop_
_symmetry_equiv_pos_as_xyz
'x,y,z'
'-x+1/2,-y,z+1/2'
'x+1/2,-y+1/2,-z'
'-x,y+1/2,-z+1/2'
loop_
_atom_site_label
_atom_site_type_symbol
_atom_site_fract_x
_atom_site_fract_y
_atom_site_fract_z
_atom_site_occupancy
Cd1 Cd 0.1908 0.1756 0.2934 1
H1 H 0.9996 0.1875 0.8651 1
H2 H 0.0424 0.8361 0.3178 1
H3 H 0.2080 0.1840 0.9878 1
H4 H 0.2212 0.8117 0.0370 1
H5 H 0.2232 0.1992 0.7625 1
H6 H 0.2245 0.9840 0.4444 1
H7 H 0.2404 0.3161 0.0686 1
C1 C 0.0317 0.5177 0.8182 1
C2 C 0.0582 0.8790 0.0578 1
C3 C 0.0939 0.6194 0.5919 1
C4 C 0.1154 0.0846 0.9671 1
C5 C 0.2145 0.4879 0.6287 1
C6 C 0.2309 0.5324 0.8804 1
N1 N 0.0072 0.5086 0.4705 1
N2 N 0.1052 0.3500 0.3850 1
N3 N 0.2165 0.5666 0.4324 1
O1 O 0.0392 0.4969 0.1513 1
O2 O 0.0450 0.6151 0.7680 1
O3 O 0.0833 0.3723 0.6340 1
O4 O 0.1215 0.7541 0.2889 1
O5 O 0.1290 0.9124 0.6823 1
```

Calculated values
* volume: 818.8 Å³ per cell
* crystal system: orthorhombic

=====

Record 2
Computed, not measured: a relaxed CdH11C13NO6 crystal at the GGA-PBE level of DFT.

The structure in CIF format:
```
data_CdH11C13NO6
_symmetry_space_group_name_H-M 'C 1 c 1'
_symmetry_Int_Tables_number 9
_cell_length_a 8.0077
_cell_length_b 23.2660
_cell_length_c 6.9527
_cell_angle_alpha 90.00
_cell_angle_beta 111.55
_cell_angle_gamma 90.00
loop_
_symmetry_equiv_pos_as_xyz
'x,y,z'
'x,-y,z+1/2'
'x+1/2,y+1/2,z'
'x+1/2,-y+1/2,z+1/2'
loop_
_atom_site_label
_atom_site_type_symbol
_atom_site_fract_x
_atom_site_fract_y
_atom_site_fract_z
_atom_site_occupancy
Cd1 Cd 0.0000 0.2044 0.0000 1
H1 H 0.0480 0.0584 0.0081 1
H2 H 0.1347 0.0454 0.6129 1
H3 H 0.1459 0.1330 0.3378 1
H4 H 0.1971 0.4061 0.6963 1
H5 H 0.2715 0.2619 0.7306 1
H6 H 0.3129 0.1583 0.3020 1
H7 H 0.3351 0.0324 0.2980 1
H8 H 0.3754 0.4725 0.8284 1
H9 H 0.4101 0.3122 0.8459 1
H10 H 0.4739 0.0906 0.4446 1
H11 H 0.4858 0.1701 0.0194 1
C1 C 0.0335 0.4757 0.5128 1
C2 C 0.0731 0.4180 0.5709 1
C3 C 0.1005 0.4200 0.0663 1
C4 C 0.1418 0.3144 0.1164 1
C5 C 0.1539 0.4770 0.1194 1
C6 C 0.1642 0.1573 0.6916 1
C7 C 0.2063 0.3748 0.1736 1
C8 C 0.2577 0.0551 0.7430 1
C9 C 0.2966 0.1124 0.8035 1
C10 C 0.3215 0.4847 0.2790 1
C11 C 0.3720 0.0116 0.8481 1
C12 C 0.4193 0.4370 0.3807 1
C13 C 0.4546 0.1256 0.9699 1
N1 N 0.3633 0.3828 0.3318 1
O1 O 0.0517 0.1444 0.5130 1
O2 O 0.1666 0.2053 0.7815 1
O3 O 0.2001 0.1363 0.2299 1
O4 O 0.2328 0.2729 0.2220 1
O5 O 0.3317 0.2971 0.7073 1
O6 O 0.4960 0.1935 0.4637 1
```

Calculated values
* volume: 1204.8 Å³ per cell
* crystal system: monoclinic

=====

Record 3
Computed, not measured: a relaxed CdH22C36N4O10 crystal at the GGA-PBE level of DFT.

The structure in CIF format:
```
data_CdH22C36N4O10
_symmetry_space_group_name_H-M 'P -1'
_symmetry_Int_Tables_number 2
_cell_length_a 7.7399
_cell_length_b 8.4696
_cell_length_c 12.1948
_cell_angle_alpha 92.29
_cell_angle_beta 96.01
_cell_angle_gamma 115.01
loop_
_symmetry_equiv_pos_as_xyz
'x,y,z'
'-x,-y,-z'
loop_
_atom_site_label
_atom_site_type_symbol
_atom_site_fract_x
_atom_site_fract_y
_atom_site_fract_z
_atom_site_occupancy
Cd1 Cd 0.0000 0.0000 0.0000 1
H1 H 0.0401 0.2749 0.2549 1
H2 H 0.0901 0.3975 0.9722 1
H3 H 0.1168 0.9472 0.4653 1
H4 H 0.1728 0.0197 0.8231 1
H5 H 0.2285 0.8719 0.8726 1
H6 H 0.2709 0.0052 0.6590 1
H7 H 0.2757 0.2789 0.4130 1
H8 H 0.3287 0.7034 0.0453 1
H9 H 0.3756 0.1795 0.1764 1
H10 H 0.3982 0.2598 0.8090 1
H11 H 0.4413 0.9336 0.2027 1
C1 C 0.0474 0.3380 0.3358 1
C2 C 0.0684 0.5026 0.5445 1
C3 C 0.0770 0.5861 0.6489 1
C4 C 0.0936 0.9085 0.2414 1
C5 C 0.1804 0.3412 0.4238 1
C6 C 0.1921 0.4235 0.5268 1
C7 C 0.2101 0.4221 0.0365 1
C8 C 0.2212 0.5968 0.7411 1
C9 C 0.2505 0.9561 0.4384 1
C10 C 0.2611 0.9356 0.3264 1
C11 C 0.3393 0.4330 0.6165 1
C12 C 0.3426 0.5906 0.0771 1
C13 C 0.3689 0.2983 0.1501 1
C14 C 0.4048 0.0137 0.6331 1
C15 C 0.4117 0.9917 0.5181 1
C16 C 0.4360 0.9504 0.2911 1
C17 C 0.4944 0.5372 0.8053 1
C18 C 0.4935 0.6114 0.1577 1
N1 N 0.2236 0.2791 0.0725 1
N2 N 0.3455 0.5219 0.7194 1
O1 O 0.0500 0.0759 0.7263 1
O2 O 0.1109 0.8775 0.1403 1
O3 O 0.2334 0.9884 0.8913 1
O4 O 0.2366 0.6693 0.8344 1
O5 O 0.4573 0.3745 0.6049 1
```

Calculated values
* volume: 717.3 Å³ per cell
* crystal system: triclinic

=====

Total energy values (in eV/atom) by entry order: -6.407, -6.552, -6.976.